Compound: Li2PWCO7
Source: Alexandria
Functional: PBE+U
Structure: optimized geometry

Its crystal system is monoclinic. The value obtained for the volume is 294.0 Å³ per cell. The magnetic moment comes out at 3.000 μB per formula unit. The density of states at the Fermi level comes out at 0.000 states/eV per atom. Its total energy is -167.249 eV/cell.

It has space group P2_1/m (No. 11), with a = 4.9797 Å, b = 6.6861 Å, c = 8.8709 Å, α = 90.00°, β = 95.46° and γ = 90.00°. The asymmetric unit holds Li at (0.2394, 0.0186, 0.2839), P at (0.2686, 0.7500, 0.9062), W at (0.2115, 0.2500, 0.8456), C at (0.2920, 0.2500, 0.5582), O at (0.0529, 0.2500, 0.6085), O at (0.1558, 0.5654, 0.8164), O at (0.1780, 0.7500, 0.0690), O at (0.3295, 0.2500, 0.4191), O at (0.4164, 0.2500, 0.0782) and O at (0.4956, 0.2500, 0.6677).